Entry 1:
This record from Alexandria describes a relaxed Sm3HoTe6 crystal. The functional is GGA-PBE.

Excess energy over the best structure of this formula in the dataset in meV per atom: 4

a b c (Å): 7.8120 7.8120 8.4128
angles (deg): 62.34 62.34 60.00
With the nearest neighbours (Å) after each atom.
Fractional coordinates of all 10 atoms:
Te: 0.4447 0.7479 0.7464  1 Ho 3.10, 3 Sm 3.12-3.17
Te: 0.2403 0.9406 0.2502  1 Ho 3.06, 3 Sm 3.13-3.17
Te: 0.9406 0.5690 0.2502  1 Ho 3.06, 3 Sm 3.13-3.17
Te: 0.5690 0.2403 0.2502  1 Ho 3.06, 3 Sm 3.13-3.17
Te: 0.0610 0.4447 0.7464  1 Ho 3.10, 3 Sm 3.12-3.17
Te: 0.7479 0.0610 0.7464  1 Ho 3.10, 3 Sm 3.12-3.17
Ho: 0.8426 0.8426 0.4722  6 Te 3.06-3.10
Sm: 0.1555 0.1555 0.5334  6 Te 3.12-3.17
Sm: 0.3440 0.3440 0.9681  6 Te 3.12-3.17
Sm: 0.6544 0.6544 0.0368  6 Te 3.13-3.17

=====

Entry 2:
This record from Alexandria describes a relaxed HfNb3Ag crystal. The functional is GGA-PBE.

Excess energy over the best structure of this formula in the dataset in meV per atom: 0
Calculated formation energy in eV/f.u.: 8.2

a b c (Å): 4.9133 4.9133 4.9133
angles (deg): 90.00 90.00 90.00
With the nearest neighbours (Å) after each atom.
Fractional coordinates of all 5 atoms:
Nb: 0.5000 0.0000 0.0000  2 Ag 2.46
Nb: 0.0000 0.5000 0.0000  2 Ag 2.46
Nb: 0.0000 0.0000 0.5000  2 Ag 2.46
Ag: 0.0000 0.0000 0.0000  6 Nb 2.46
Hf: 0.5000 0.5000 0.5000  12 Nb 3.47

=====

Entry 3:
This record from Alexandria describes a relaxed LiTlB2 crystal. The functional is GGA-PBE.

Excess energy over the best structure of this formula in the dataset in meV per atom: 503
Calculated formation energy in eV/f.u.: 5.4

a b c (Å): 4.2779 4.2779 4.2779
angles (deg): 60.00 60.00 60.00
With the nearest neighbours (Å) after each atom.
Fractional coordinates of all 4 atoms:
Li: 0.0000 0.0000 0.0000  8 B 2.62
B: 0.2500 0.2500 0.2500  4 Tl 2.62, 4 Li 2.62
B: 0.7500 0.7500 0.7500  4 Tl 2.62, 4 Li 2.62
Tl: 0.5000 0.5000 0.5000  8 B 2.62

=====

Entry 4:
This record from Alexandria describes a relaxed Pa5Pb crystal. The functional is GGA-PBE.

Excess energy over the best structure of this formula in the dataset in meV per atom: 107
Calculated formation energy in eV/f.u.: 0.9

a b c (Å): 5.4406 5.2963 6.4339
angles (deg): 87.17 90.00 120.91
With the nearest neighbours (Å) after each atom.
Fractional coordinates of all 6 atoms:
Pa: 0.3572 0.7144 0.7142  1 Pa 2.69
Pa: 0.3656 0.7312 0.2950  1 Pa 2.69
Pa: 0.6944 0.3889 0.3890  6 Pa 3.08-3.17, 2 Pb 3.22
Pa: 0.0233 0.0465 0.4826  1 Pa 2.69
Pa: 0.0317 0.0634 0.0635  1 Pa 2.69
Pb: 0.6945 0.3889 0.8890  8 Pa 3.22-3.33

=====

| no. | VASP energy (eV per cell) |
| --- | --- |
| 1 | -51.3 |
| 2 | -34.8 |
| 3 | -12.2 |
| 4 | -50.3 |